## MgSbSe2 (SCAN)

Data for MgSbSe2 at its PBEsol-relaxed geometry.

Properties
Calculated density, Mg/m³: 5.39
Formation energy from raw total energies, eV/atom: -0.499
Relative energy among the computed polymorphs, eV/atom: 0.130
Density of states at the Fermi level, states/eV/atom: 0.371

Cell lengths 4.306, 3.862, 11.254 Å; angles 90.00, 90.00, 90.00 degrees
Space group Amm2 (No. 38)
One atom of each set of equivalent atoms:
Mg  0.000  0.000  0.000
Sb  0.500  0.000  0.737
Se  0.000  0.000  0.237
Se  0.500  0.000  0.498